Entry 1:
A plane-wave DFT calculation with PBE was carried out for an optimized crystal structure of FeSb2TeS.

```
data_FeSb2TeS
_chemical_formula_sum 'Fe1 Sb2 Te1 S1'
_space_group_name_H-M_alt 'P 4/m m m'
_space_group_IT_number 123
_space_group_name_Hall '-P 4 2'
_cell_length_a 5.145
_cell_length_b 5.145
_cell_length_c 5.100
_cell_angle_alpha 90.00
_cell_angle_beta 90.00
_cell_angle_gamma 90.00
loop_
_atom_site_label
_atom_site_type_symbol
_atom_site_fract_x
_atom_site_fract_y
_atom_site_fract_z
_atom_site_occupancy
Fe1 Fe 0.000 0.000 0.000 1
Sb1 Sb 0.000 0.500 0.500 1
Te1 Te 0.500 0.500 0.000 1
S1 S 0.500 0.500 0.500 1
```

relative energy among the computed polymorphs: 745 meV/atom

Entry 2:
A plane-wave DFT calculation with PBE was carried out for an optimized crystal structure of FeSb2TeS.

```
data_FeSb2TeS
_chemical_formula_sum 'Fe1 Sb2 Te1 S1'
_space_group_name_H-M_alt 'P 4/m m m'
_space_group_IT_number 123
_space_group_name_Hall '-P 4 2'
_cell_length_a 4.979
_cell_length_b 4.979
_cell_length_c 4.908
_cell_angle_alpha 90.00
_cell_angle_beta 90.00
_cell_angle_gamma 90.00
loop_
_atom_site_label
_atom_site_type_symbol
_atom_site_fract_x
_atom_site_fract_y
_atom_site_fract_z
_atom_site_occupancy
Fe1 Fe 0.000 0.000 0.000 1
Sb1 Sb 0.000 0.500 0.000 1
Te1 Te 0.000 0.000 0.500 1
S1 S 0.500 0.500 0.500 1
```

relative energy among the computed polymorphs: 0 meV/atom

Entry 3:
A plane-wave DFT calculation with PBE was carried out for an optimized crystal structure of ScFe3S.

```
data_ScFe3S
_chemical_formula_sum 'Sc1 Fe3 S1'
_space_group_name_H-M_alt 'P m -3 m'
_space_group_IT_number 221
_space_group_name_Hall '-P 4 2 3'
_cell_length_a 4.513
_cell_length_b 4.513
_cell_length_c 4.513
_cell_angle_alpha 90.00
_cell_angle_beta 90.00
_cell_angle_gamma 90.00
loop_
_atom_site_label
_atom_site_type_symbol
_atom_site_fract_x
_atom_site_fract_y
_atom_site_fract_z
_atom_site_occupancy
Sc1 Sc 0.000 0.000 0.000 1
Fe1 Fe 0.000 0.000 0.500 1
S1 S 0.500 0.500 0.500 1
```

relative energy among the computed polymorphs: 1663 meV/atom

Entry 4:
A plane-wave DFT calculation with PBE was carried out for an optimized crystal structure of ScFeS3.

```
data_ScFeS3
_chemical_formula_sum 'Sc1 Fe1 S3'
_space_group_name_H-M_alt 'P m -3 m'
_space_group_IT_number 221
_space_group_name_Hall '-P 4 2 3'
_cell_length_a 4.855
_cell_length_b 4.855
_cell_length_c 4.855
_cell_angle_alpha 90.00
_cell_angle_beta 90.00
_cell_angle_gamma 90.00
loop_
_atom_site_label
_atom_site_type_symbol
_atom_site_fract_x
_atom_site_fract_y
_atom_site_fract_z
_atom_site_occupancy
Sc1 Sc 0.000 0.000 0.000 1
Fe1 Fe 0.500 0.500 0.500 1
S1 S 0.000 0.000 0.500 1
```

relative energy among the computed polymorphs: 408 meV/atom

Entry 5:
A plane-wave DFT calculation with PBE was carried out for an optimized crystal structure of Sc3FeS.

```
data_Sc3FeS
_chemical_formula_sum 'Sc3 Fe1 S1'
_space_group_name_H-M_alt 'P m -3 m'
_space_group_IT_number 221
_space_group_name_Hall '-P 4 2 3'
_cell_length_a 4.780
_cell_length_b 4.780
_cell_length_c 4.780
_cell_angle_alpha 90.00
_cell_angle_beta 90.00
_cell_angle_gamma 90.00
loop_
_atom_site_label
_atom_site_type_symbol
_atom_site_fract_x
_atom_site_fract_y
_atom_site_fract_z
_atom_site_occupancy
Sc1 Sc 0.000 0.000 0.500 1
Fe1 Fe 0.500 0.500 0.500 1
S1 S 0.000 0.000 0.000 1
```

relative energy among the computed polymorphs: 0 meV/atom

Entry 6:
A plane-wave DFT calculation with PBE was carried out for an optimized crystal structure of ScFe2S.

```
data_ScFe2S
_chemical_formula_sum 'Sc4 Fe8 S4'
_space_group_name_H-M_alt 'I -4 2 d'
_space_group_IT_number 122
_space_group_name_Hall 'I -4 2bw'
_cell_length_a 7.066
_cell_length_b 7.066
_cell_length_c 4.955
_cell_angle_alpha 90.00
_cell_angle_beta 90.00
_cell_angle_gamma 90.00
loop_
_atom_site_label
_atom_site_type_symbol
_atom_site_fract_x
_atom_site_fract_y
_atom_site_fract_z
_atom_site_occupancy
Sc1 Sc 0.000 0.000 0.000 1
Fe1 Fe 0.161 0.750 0.625 1
S1 S 0.000 0.000 0.500 1
```

Respective uncorrected formation energy values: 1219 474 1563 4 -322 -169 meV per atom.